1.
# Mn2GeRu | Alexandria | GGA-PBE | relaxed
# * uncorrected energy: -8.236 eV/atom
# * formation energy: -178 meV per atom
data_Mn2GeRu
_space_group_name_H-M_alt 'F -4 3 m'
_space_group_IT_number 216
_space_group_name_Hall 'F -4 2 3'
_cell_length_a 5.899
_cell_length_b 5.899
_cell_length_c 5.899
_cell_angle_alpha 90.00
_cell_angle_beta 90.00
_cell_angle_gamma 90.00
loop_
_atom_site_label
_atom_site_type_symbol
_atom_site_fract_x
_atom_site_fract_y
_atom_site_fract_z
_atom_site_occupancy
Mn1 Mn 0.000 0.000 0.000 1
Mn2 Mn 0.250 0.250 0.250 1
Ge1 Ge 0.250 0.250 0.750 1
Ru1 Ru 0.000 0.000 0.500 1


2.
# Mn2GeRu2 | Alexandria | GGA-PBE | relaxed
# * uncorrected energy: -8.064 eV/atom
# * formation energy: 238 meV per atom
data_Mn2GeRu2
_space_group_name_H-M_alt 'P 4/m b m'
_space_group_IT_number 127
_space_group_name_Hall '-P 4 2ab'
_cell_length_a 7.061
_cell_length_b 7.061
_cell_length_c 2.888
_cell_angle_alpha 90.00
_cell_angle_beta 90.00
_cell_angle_gamma 90.00
loop_
_atom_site_label
_atom_site_type_symbol
_atom_site_fract_x
_atom_site_fract_y
_atom_site_fract_z
_atom_site_occupancy
Mn1 Mn 0.160 0.340 0.000 1
Ge1 Ge 0.000 0.000 0.500 1
Ru1 Ru 0.135 0.635 0.500 1


3.
# Mn2GeRu | Alexandria | GGA-PBE | relaxed
# * uncorrected energy: -8.126 eV/atom
# * formation energy: -68 meV per atom
data_Mn2GeRu
_space_group_name_H-M_alt 'P 4/m m m'
_space_group_IT_number 123
_space_group_name_Hall '-P 4 2'
_cell_length_a 3.691
_cell_length_b 3.691
_cell_length_c 3.887
_cell_angle_alpha 90.00
_cell_angle_beta 90.00
_cell_angle_gamma 90.00
loop_
_atom_site_label
_atom_site_type_symbol
_atom_site_fract_x
_atom_site_fract_y
_atom_site_fract_z
_atom_site_occupancy
Mn1 Mn 0.000 0.500 0.000 1
Ge1 Ge 0.000 0.000 0.500 1
Ru1 Ru 0.500 0.500 0.500 1


4.
# MnGeRu3 | Alexandria | GGA-PBE | relaxed
# * relative energy among the computed polymorphs: 1.667 eV/f.u.
# * uncorrected energy: -6.792 eV/atom
# * formation energy: 1531 meV per atom
data_MnGeRu3
_space_group_name_H-M_alt 'P m -3 m'
_space_group_IT_number 221
_space_group_name_Hall '-P 4 2 3'
_cell_length_a 4.452
_cell_length_b 4.452
_cell_length_c 4.452
_cell_angle_alpha 90.00
_cell_angle_beta 90.00
_cell_angle_gamma 90.00
loop_
_atom_site_label
_atom_site_type_symbol
_atom_site_fract_x
_atom_site_fract_y
_atom_site_fract_z
_atom_site_occupancy
Mn1 Mn 0.000 0.000 0.000 1
Ge1 Ge 0.500 0.500 0.500 1
Ru1 Ru 0.000 0.500 0.500 1


5.
# Mn2Ge4Ru | Alexandria | GGA-PBE | relaxed
# * uncorrected energy: -6.171 eV/atom
# * formation energy: 412 meV per atom
data_Mn2Ge4Ru
_space_group_name_H-M_alt 'I 4/m m m'
_space_group_IT_number 139
_space_group_name_Hall '-I 4 2'
_cell_length_a 4.739
_cell_length_b 4.739
_cell_length_c 12.278
_cell_angle_alpha 90.00
_cell_angle_beta 90.00
_cell_angle_gamma 90.00
loop_
_atom_site_label
_atom_site_type_symbol
_atom_site_fract_x
_atom_site_fract_y
_atom_site_fract_z
_atom_site_occupancy
Mn1 Mn 0.000 0.000 0.103 1
Ge1 Ge 0.000 0.000 0.300 1
Ge2 Ge 0.000 0.500 0.000 1
Ru1 Ru 0.000 0.000 0.500 1


6.
# MnGeRu | Alexandria | GGA-PBE | relaxed
# * uncorrected energy: -7.526 eV/atom
# * formation energy: 161 meV per atom
data_MnGeRu
_space_group_name_H-M_alt 'C m c m'
_space_group_IT_number 63
_space_group_name_Hall '-C 2c 2'
_cell_length_a 2.792
_cell_length_b 13.411
_cell_length_c 4.551
_cell_angle_alpha 90.00
_cell_angle_beta 90.00
_cell_angle_gamma 90.00
loop_
_atom_site_label
_atom_site_type_symbol
_atom_site_fract_x
_atom_site_fract_y
_atom_site_fract_z
_atom_site_occupancy
Mn1 Mn 0.000 0.000 0.000 1
Ge1 Ge 0.000 0.168 0.250 1
Ru1 Ru 0.000 0.359 0.250 1


7.
# MnGeRu3 | Alexandria | GGA-PBE | relaxed
# * relative energy among the computed polymorphs: 0.000 eV/f.u.
# * uncorrected energy: -7.125 eV/atom
# * formation energy: 1197 meV per atom
data_MnGeRu3
_space_group_name_H-M_alt 'P m -3 m'
_space_group_IT_number 221
_space_group_name_Hall '-P 4 2 3'
_cell_length_a 4.442
_cell_length_b 4.442
_cell_length_c 4.442
_cell_angle_alpha 90.00
_cell_angle_beta 90.00
_cell_angle_gamma 90.00
loop_
_atom_site_label
_atom_site_type_symbol
_atom_site_fract_x
_atom_site_fract_y
_atom_site_fract_z
_atom_site_occupancy
Mn1 Mn 0.000 0.000 0.000 1
Ge1 Ge 0.500 0.500 0.500 1
Ru1 Ru 0.000 0.000 0.500 1


8.
# MnGeRu | Alexandria | GGA-PBE | relaxed
# * uncorrected energy: -7.580 eV/atom
# * formation energy: 108 meV per atom
data_MnGeRu
_space_group_name_H-M_alt 'P 1 2/m 1'
_space_group_IT_number 10
_cell_length_a 4.070
_cell_length_b 2.886
_cell_length_c 4.422
_cell_angle_alpha 90.00
_cell_angle_beta 90.20
_cell_angle_gamma 90.00
loop_
_space_group_symop_operation_xyz
'x,y,z'
'-x,-y,-z'
'-x,y,-z'
'x,-y,z'
loop_
_atom_site_label
_atom_site_type_symbol
_atom_site_fract_x
_atom_site_fract_y
_atom_site_fract_z
_atom_site_occupancy
Mn1 Mn 0.000 0.000 0.000 1
Ge1 Ge 0.500 0.000 0.500 1
Ru1 Ru 0.000 0.500 0.500 1


Repeat the sixth record exactly.
# MnGeRu | Alexandria | GGA-PBE | relaxed
# * uncorrected energy: -7.526 eV/atom
# * formation energy: 161 meV per atom
data_MnGeRu
_space_group_name_H-M_alt 'C m c m'
_space_group_IT_number 63
_space_group_name_Hall '-C 2c 2'
_cell_length_a 2.792
_cell_length_b 13.411
_cell_length_c 4.551
_cell_angle_alpha 90.00
_cell_angle_beta 90.00
_cell_angle_gamma 90.00
loop_
_atom_site_label
_atom_site_type_symbol
_atom_site_fract_x
_atom_site_fract_y
_atom_site_fract_z
_atom_site_occupancy
Mn1 Mn 0.000 0.000 0.000 1
Ge1 Ge 0.000 0.168 0.250 1
Ru1 Ru 0.000 0.359 0.250 1


The lowest uncorrected energy belongs to which entry?
number 1


Among the records above, which one has the lowest uncorrected energy?
number 1


formation energy of number 1 (Mn2GeRu)?
-178 meV per atom